#A
A plane-wave DFT calculation with GGA-PBE was carried out for a relaxed structure of BC11.

## Properties
space group	No. 8
total moment	0.00	μB/f.u.
calculated density	3.4	g cm⁻³

Cell: 5.7470 5.7470 5.0980 Å, 102.88 102.88 25.41°
Last column: nearest neighbours and their distance in Å.
Atoms (fractional coordinates):
C 0.2519 0.2519 0.8735  4 C 1.56-1.57
C 0.9139 0.9139 0.6999  3 C 1.54-1.55, 1 B 1.59
C 0.5822 0.5822 0.5412  4 C 1.55-1.58
C 0.9134 0.9134 0.2128  3 C 1.54-1.56, 1 B 1.59
C 0.6688 0.6688 0.8339  4 C 1.52-1.58
C 0.3334 0.3334 0.6636  4 C 1.54-1.56
C 0.3321 0.3321 0.1703  4 C 1.54-1.57
C 0.6671 0.6671 0.3345  4 C 1.52-1.57
C 0.9993 0.9993 0.5002  4 C 1.55-1.56
C 0.2490 0.2490 0.3763  4 C 1.55-1.56
C 0.5926 0.5926 0.0451  2 C 1.52, 2 B 1.64
B 0.9964 0.9964 0.9987  4 C 1.59-1.64

---

#B
A plane-wave DFT calculation with GGA-PBE was carried out for a relaxed structure of BC11.

## Properties
space group	No. 156
total moment	0.00	μB/f.u.
calculated density	3.4	g cm⁻³

Cell: 2.5390 2.5390 12.5832 Å, 90.00 90.00 120.00°
Last column: nearest neighbours and their distance in Å.
Atoms (fractional coordinates):
C 0.0000 0.0000 0.0042  4 C 1.51-1.56
C 0.0000 0.0000 0.4977  4 C 1.55-1.56
C 0.0000 0.0000 0.3737  4 C 1.55-1.56
C 0.3333 0.6667 0.0460  4 C 1.55-1.56
C 0.3333 0.6667 0.1692  4 C 1.55
C 0.6667 0.3333 0.7016  3 C 1.55, 1 B 1.62
C 0.3333 0.6667 0.5375  4 C 1.55-1.57
C 0.0000 0.0000 0.8840  1 C 1.51, 3 B 1.61
C 0.6667 0.3333 0.2097  4 C 1.55-1.56
C 0.3333 0.6667 0.6623  4 C 1.55-1.57
C 0.6667 0.3333 0.3335  4 C 1.55-1.56
B 0.6667 0.3333 0.8306  4 C 1.61-1.62

---

Compare the structures above. Which one is the least stable? #A is.